[1]
Mn3Al2Cr: relaxed, PBE.

Computed properties:
The value obtained for the energy relative to the elements is -0.1012 eV per atom. The total magnetic moment is 5.962 Bohr magnetons per cell.

Geometry as CIF:
```
data_Mn3Al2Cr
_cell_length_a 4.4132
_cell_length_b 10.1894
_cell_length_c 6.5415
_cell_angle_alpha 90.00
_cell_angle_beta 90.00
_cell_angle_gamma 90.00
_space_group_name_H-M_alt 'I m m a'
_space_group_IT_number 74
_space_group_name_Hall '-I 2b 2'
loop_
_atom_site_label
_atom_site_type_symbol
_atom_site_fract_x
_atom_site_fract_y
_atom_site_fract_z
_atom_site_occupancy
Mn1 Mn 0.0000 0.0412 0.1523 1
Mn2 Mn 0.2500 0.2500 0.2500 1
Al1 Al 0.0000 0.1207 0.5527 1
Cr1 Cr 0.0000 0.2500 0.9024 1
```

---

[2]
LaMn2Ni: relaxed, PBE.

Computed properties:
The value obtained for the energy relative to the elements is 0.2737 eV per atom. The total magnetic moment is 14.969 Bohr magnetons per cell.

Geometry as CIF:
```
data_LaMn2Ni
_cell_length_a 3.2029
_cell_length_b 4.7052
_cell_length_c 9.7650
_cell_angle_alpha 90.00
_cell_angle_beta 90.00
_cell_angle_gamma 90.00
_space_group_name_H-M_alt 'I m m m'
_space_group_IT_number 71
_space_group_name_Hall '-I 2 2'
loop_
_atom_site_label
_atom_site_type_symbol
_atom_site_fract_x
_atom_site_fract_y
_atom_site_fract_z
_atom_site_occupancy
La1 La 0.0000 0.0000 0.0000 1
Mn1 Mn 0.0000 0.5000 0.2137 1
Ni1 Ni 0.0000 0.0000 0.5000 1
```

---

[3]
TaTl2Os: relaxed, PBE.

Computed properties:
The value obtained for the energy relative to the elements is 0.2991 eV per atom. The distance to the lowest polymorph of the same formula comes out at 0 meV/atom. The total magnetic moment is 0.000 Bohr magnetons per cell.

Geometry as CIF:
```
data_TaTl2Os
_cell_length_a 3.1587
_cell_length_b 3.1752
_cell_length_c 8.9553
_cell_angle_alpha 90.00
_cell_angle_beta 99.95
_cell_angle_gamma 90.00
_space_group_name_H-M_alt 'P 1 m 1'
_space_group_IT_number 6
_space_group_name_Hall 'P -2y'
loop_
_atom_site_label
_atom_site_type_symbol
_atom_site_fract_x
_atom_site_fract_y
_atom_site_fract_z
_atom_site_occupancy
Ta1 Ta 0.0000 0.0000 0.0000 1
Tl1 Tl 0.6268 0.5000 0.2621 1
Tl2 Tl 0.8031 0.0000 0.5944 1
Os1 Os 0.4240 0.5000 0.8456 1
```

---

[4]
PmSm2Ag3: relaxed, PBE.

Computed properties:
The value obtained for the energy relative to the elements is -0.2786 eV per atom. The total magnetic moment is 0.000 Bohr magnetons per cell.

Geometry as CIF:
```
data_PmSm2Ag3
_cell_length_a 3.7071
_cell_length_b 3.7071
_cell_length_c 11.2153
_cell_angle_alpha 90.00
_cell_angle_beta 90.00
_cell_angle_gamma 90.00
_space_group_name_H-M_alt 'P 4/m m m'
_space_group_IT_number 123
_space_group_name_Hall '-P 4 2'
loop_
_atom_site_label
_atom_site_type_symbol
_atom_site_fract_x
_atom_site_fract_y
_atom_site_fract_z
_atom_site_occupancy
Pm1 Pm 0.0000 0.0000 0.0000 1
Sm1 Sm 0.0000 0.0000 0.3340 1
Ag1 Ag 0.5000 0.5000 0.1691 1
Ag2 Ag 0.5000 0.5000 0.5000 1
```

---

[5]
Cs4InHg2Bi2: relaxed, PBE.

Computed properties:
The value obtained for the energy relative to the elements is -0.2553 eV per atom. The total magnetic moment is 0.000 Bohr magnetons per cell.

Geometry as CIF:
```
data_Cs4InHg2Bi2
_cell_length_a 17.5251
_cell_length_b 10.6556
_cell_length_c 5.6032
_cell_angle_alpha 90.00
_cell_angle_beta 107.55
_cell_angle_gamma 90.00
_space_group_name_H-M_alt 'C 1 2/m 1'
_space_group_IT_number 12
_space_group_name_Hall '-C 2y'
loop_
_atom_site_label
_atom_site_type_symbol
_atom_site_fract_x
_atom_site_fract_y
_atom_site_fract_z
_atom_site_occupancy
Cs1 Cs 0.1340 0.2434 0.1405 1
In1 In 0.0000 0.5000 0.5000 1
Hg1 Hg 0.2013 0.0000 0.7040 1
Bi1 Bi 0.1762 0.5000 0.6794 1
```

---

[6]
BiTeC: relaxed, PBE.

Computed properties:
The distance to the lowest polymorph of the same formula comes out at 56 meV/atom. The total magnetic moment is 0.000 Bohr magnetons per cell. For the raw formation energy, the calculation gives 0.61 eV/atom.

Geometry as CIF:
```
data_BiTeC
_cell_length_a 4.8522
_cell_length_b 4.1768
_cell_length_c 8.4431
_cell_angle_alpha 90.00
_cell_angle_beta 101.87
_cell_angle_gamma 90.00
_space_group_name_H-M_alt 'P 1 m 1'
_space_group_IT_number 6
_space_group_name_Hall 'P -2y'
loop_
_atom_site_label
_atom_site_type_symbol
_atom_site_fract_x
_atom_site_fract_y
_atom_site_fract_z
_atom_site_occupancy
Bi1 Bi 0.0000 0.0000 0.0000 1
Bi2 Bi 0.2750 0.5000 0.3553 1
Te1 Te 0.5246 0.5000 0.0452 1
Te2 Te 0.9026 0.5000 0.6515 1
C1 C 0.6149 0.1581 0.5071 1
```

---

[7]
Tb2YScS6: relaxed, PBE.

Computed properties:
The total magnetic moment is 0.000 Bohr magnetons per cell. For the raw formation energy, the calculation gives -2.01 eV/atom.

Geometry as CIF:
```
data_Tb2YScS6
_cell_length_a 6.8303
_cell_length_b 6.8303
_cell_length_c 18.2674
_cell_angle_alpha 90.00
_cell_angle_beta 90.00
_cell_angle_gamma 120.00
_space_group_name_H-M_alt 'R 3'
_space_group_IT_number 146
_space_group_name_Hall 'R 3'
loop_
_atom_site_label
_atom_site_type_symbol
_atom_site_fract_x
_atom_site_fract_y
_atom_site_fract_z
_atom_site_occupancy
Tb1 Tb 0.0000 0.0000 0.0000 1
Tb2 Tb 0.0000 0.0000 0.4973 1
Y1 Y 0.0000 0.0000 0.2011 1
Sc1 Sc 0.0000 0.0000 0.6975 1
S1 S 0.0372 0.3465 0.7678 1
S2 S 0.0435 0.6750 0.2705 1
```

---

[8]
BaHfIn2I8: relaxed, PBE.

Computed properties:
The total magnetic moment is 0.000 Bohr magnetons per cell. For the raw formation energy, the calculation gives -0.93 eV/atom.

Geometry as CIF:
```
data_BaHfIn2I8
_cell_length_a 7.5402
_cell_length_b 8.1333
_cell_length_c 9.6768
_cell_angle_alpha 89.95
_cell_angle_beta 89.94
_cell_angle_gamma 89.68
_space_group_name_H-M_alt 'P -1'
_space_group_IT_number 2
_space_group_name_Hall '-P 1'
loop_
_atom_site_label
_atom_site_type_symbol
_atom_site_fract_x
_atom_site_fract_y
_atom_site_fract_z
_atom_site_occupancy
Ba1 Ba 0.0000 0.0000 0.0000 1
Hf1 Hf 0.0000 0.0000 0.5000 1
In1 In 0.4996 0.4998 0.2573 1
I1 I 0.1936 0.7032 0.5004 1
I2 I 0.2350 0.1305 0.2912 1
I3 I 0.2346 0.1311 0.7082 1
I4 I 0.2743 0.6610 0.0000 1
```

---

[9]
AcBiF: relaxed, PBE.

Computed properties:
The distance to the lowest polymorph of the same formula comes out at 0 meV/atom. The total magnetic moment is 0.000 Bohr magnetons per cell. For the raw formation energy, the calculation gives -2.21 eV/atom.

Geometry as CIF:
```
data_AcBiF
_cell_length_a 6.1097
_cell_length_b 6.5724
_cell_length_c 8.5695
_cell_angle_alpha 90.00
_cell_angle_beta 98.10
_cell_angle_gamma 90.00
_space_group_name_H-M_alt 'P 1 21/c 1'
_space_group_IT_number 14
_space_group_name_Hall '-P 2ybc'
loop_
_atom_site_label
_atom_site_type_symbol
_atom_site_fract_x
_atom_site_fract_y
_atom_site_fract_z
_atom_site_occupancy
Ac1 Ac 0.2186 0.1647 0.1728 1
Bi1 Bi 0.3224 0.6461 0.0335 1
F1 F 0.0846 0.1111 0.8789 1
```

---

[10]
TiRe3Ag: relaxed, PBE.

Computed properties:
The value obtained for the energy relative to the elements is 1.9418 eV per atom. The distance to the lowest polymorph of the same formula comes out at 0 meV/atom. The total magnetic moment is 0.000 Bohr magnetons per cell.

Geometry as CIF:
```
data_TiRe3Ag
_cell_length_a 4.5558
_cell_length_b 4.5558
_cell_length_c 4.5558
_cell_angle_alpha 90.00
_cell_angle_beta 90.00
_cell_angle_gamma 90.00
_space_group_name_H-M_alt 'P m -3 m'
_space_group_IT_number 221
_space_group_name_Hall '-P 4 2 3'
loop_
_atom_site_label
_atom_site_type_symbol
_atom_site_fract_x
_atom_site_fract_y
_atom_site_fract_z
_atom_site_occupancy
Ti1 Ti 0.0000 0.0000 0.0000 1
Re1 Re 0.0000 0.0000 0.5000 1
Ag1 Ag 0.5000 0.5000 0.5000 1
```

---

[11]
LiTbAl: relaxed, PBE.

Computed properties:
The value obtained for the energy relative to the elements is 0.0809 eV per atom. The distance to the lowest polymorph of the same formula comes out at 285 meV/atom. The total magnetic moment is 0.000 Bohr magnetons per cell.

Geometry as CIF:
```
data_LiTbAl
_cell_length_a 4.6091
_cell_length_b 4.6091
_cell_length_c 6.5343
_cell_angle_alpha 90.00
_cell_angle_beta 90.00
_cell_angle_gamma 90.00
_space_group_name_H-M_alt 'I -4 m 2'
_space_group_IT_number 119
_space_group_name_Hall 'I -4 -2'
loop_
_atom_site_label
_atom_site_type_symbol
_atom_site_fract_x
_atom_site_fract_y
_atom_site_fract_z
_atom_site_occupancy
Li1 Li 0.0000 0.0000 0.0000 1
Tb1 Tb 0.0000 0.5000 0.7500 1
Al1 Al 0.0000 0.5000 0.2500 1
```

---

[12]
Sc12Co6Ir: relaxed, PBE.

Computed properties:
The value obtained for the energy relative to the elements is -0.3145 eV per atom. The total magnetic moment is 0.000 Bohr magnetons per cell.

Geometry as CIF:
```
data_Sc12Co6Ir
_cell_length_a 8.8484
_cell_length_b 8.8484
_cell_length_c 8.8484
_cell_angle_alpha 90.00
_cell_angle_beta 90.00
_cell_angle_gamma 90.00
_space_group_name_H-M_alt 'I m -3'
_space_group_IT_number 204
_space_group_name_Hall '-I 2 2 3'
loop_
_atom_site_label
_atom_site_type_symbol
_atom_site_fract_x
_atom_site_fract_y
_atom_site_fract_z
_atom_site_occupancy
Sc1 Sc 0.0000 0.2896 0.1939 1
Co1 Co 0.0000 0.1217 0.5000 1
Ir1 Ir 0.0000 0.0000 0.0000 1
```